A plane-wave DFT calculation with PBE with a Hubbard U was carried out for an optimized crystal structure of CoO4.

* electronic total energy: -47.92 eV/cell
* mass density: 3.60 g/cm3
* space group: P2/c (13)

Cell and atoms, written as POSCAR:
```
CoO4
1.0
4.8231 0.0000 0.0000
0.0000 5.6180 0.0000
-1.5731 0.0000 4.1895
Co O
2 8
Direct
0.0000 0.1852 0.2500
0.0000 0.8148 0.7500
0.7116 0.3486 0.0562
0.8704 0.8482 0.1127
0.1296 0.8482 0.3873
0.2884 0.3486 0.4438
0.7116 0.6514 0.5562
0.8704 0.1518 0.6127
0.1296 0.1518 0.8873
0.2884 0.6514 0.9438
```